Computed, not measured: a geometry-optimized CdHg2W structure at the PBE-GGA level of DFT.

```
data_CdHg2W
_space_group_name_H-M_alt 'C m m m'
_space_group_IT_number 65
_space_group_name_Hall '-C 2 2'
_cell_length_a 2.934
_cell_length_b 5.403
_cell_length_c 10.303
_cell_angle_alpha 90.00
_cell_angle_beta 90.00
_cell_angle_gamma 90.00
loop_
_atom_site_label
_atom_site_fract_x
_atom_site_fract_y
_atom_site_fract_z
_atom_site_occupancy
Cd1 0.000 0.000 0.000 1
Hg1 0.000 0.500 0.258 1
W1 0.000 0.000 0.500 1
```

## Properties
ρ   14.2 Mg/m³
Energy of formation   578.3 meV per atom
Calculated total energy   -3.04 eV per atom